Entry 1:
! TcBSCl2 | Alexandria | PBE | relaxed; values from VASP
! spin magnetization: 4.790 μB per formula unit
! energy above the most stable polymorph in this dataset: 0.039 eV per atom
! uncorrected formation energy: 0.8761 eV/atom
! SG: No. 123
&SYSTEM
  ibrav = 0, nat = 5, ntyp = 4
/
ATOMIC_SPECIES
S 32.06 S.upf
B 10.81 B.upf
Tc 98.00 Tc.upf
Cl 35.45 Cl.upf
ATOMIC_POSITIONS crystal
S 0.0000 0.0000 0.5000
B 0.0000 0.0000 0.0000
Tc 0.5000 0.5000 0.5000
Cl 0.0000 0.5000 0.0000
Cl 0.5000 0.0000 0.0000
CELL_PARAMETERS angstrom
-1.9655 3.8063 -0.2003
-3.0181 -1.4166 2.6972
2.5004 1.4793 3.5748

=====

Entry 2:
! B2TeSCl | Alexandria | PBE | relaxed; values from VASP
! spin magnetization: 0.000 μB per formula unit
! uncorrected formation energy: 1.9404 eV/atom
! SG: No. 123
&SYSTEM
  ibrav = 0, nat = 5, ntyp = 4
/
ATOMIC_SPECIES
S 32.06 S.upf
Te 127.60 Te.upf
B 10.81 B.upf
Cl 35.45 Cl.upf
ATOMIC_POSITIONS crystal
S 0.0000 0.5000 0.0000
Te 0.5000 0.5000 0.5000
B 0.0000 0.0000 0.5000
B 0.5000 0.0000 0.0000
Cl 0.0000 0.0000 0.0000
CELL_PARAMETERS angstrom
-3.1529 0.7138 2.8799
2.0569 -3.2557 3.0588
2.3504 3.1655 1.7887

=====

Entry 3:
! BTeSCl2 | Alexandria | PBE | relaxed; values from VASP
! spin magnetization: 0.140 μB per formula unit
! energy above the most stable polymorph in this dataset: 0.467 eV per atom
! uncorrected formation energy: 0.9624 eV/atom
! SG: No. 123
&SYSTEM
  ibrav = 0, nat = 5, ntyp = 4
/
ATOMIC_SPECIES
S 32.06 S.upf
Te 127.60 Te.upf
B 10.81 B.upf
Cl 35.45 Cl.upf
ATOMIC_POSITIONS crystal
S 0.0000 0.0000 0.5000
Te 0.0000 0.0000 0.0000
B 0.5000 0.5000 0.5000
Cl 0.0000 0.5000 0.0000
Cl 0.5000 0.0000 0.0000
CELL_PARAMETERS angstrom
-1.6581 -3.2192 -3.8104
2.8788 -3.8968 2.0395
-4.0532 -1.4362 2.9772

=====

Entry 4:
! BTeSCl2 | Alexandria | PBE | relaxed; values from VASP
! spin magnetization: 0.000 μB per formula unit
! energy above the most stable polymorph in this dataset: 0.000 eV per atom
! uncorrected formation energy: 0.4958 eV/atom
! SG: No. 123
&SYSTEM
  ibrav = 0, nat = 5, ntyp = 4
/
ATOMIC_SPECIES
S 32.06 S.upf
Te 127.60 Te.upf
B 10.81 B.upf
Cl 35.45 Cl.upf
ATOMIC_POSITIONS crystal
S 0.0000 0.0000 0.5000
Te 0.5000 0.5000 0.5000
B 0.0000 0.0000 0.0000
Cl 0.0000 0.5000 0.0000
Cl 0.5000 0.0000 0.0000
CELL_PARAMETERS angstrom
4.0584 0.0000 0.0000
0.0000 4.0584 0.0000
0.0000 0.0000 6.4662

=====

Entry 5:
! TiBSCl2 | Alexandria | PBE | relaxed; values from VASP
! spin magnetization: 0.048 μB per formula unit
! energy above the most stable polymorph in this dataset: 0.248 eV per atom
! uncorrected formation energy: 0.3505 eV/atom
! SG: No. 123
&SYSTEM
  ibrav = 0, nat = 5, ntyp = 4
/
ATOMIC_SPECIES
S 32.06 S.upf
Cl 35.45 Cl.upf
B 10.81 B.upf
Ti 47.87 Ti.upf
ATOMIC_POSITIONS crystal
S 0.0000 0.0000 0.5000
Cl 0.0000 0.5000 0.0000
Cl 0.5000 0.0000 0.0000
B 0.0000 0.0000 0.0000
Ti 0.5000 0.5000 0.5000
CELL_PARAMETERS angstrom
-3.3133 2.5950 0.3600
-2.3523 -3.2022 1.4333
1.2256 0.9816 4.2045

=====

Entry 6:
! TiBS2Cl | Alexandria | PBE | relaxed; values from VASP
! spin magnetization: 1.200 μB per formula unit
! energy above the most stable polymorph in this dataset: 0.005 eV per atom
! uncorrected formation energy: 0.2564 eV/atom
! SG: No. 123
&SYSTEM
  ibrav = 0, nat = 5, ntyp = 4
/
ATOMIC_SPECIES
S 32.06 S.upf
Cl 35.45 Cl.upf
B 10.81 B.upf
Ti 47.87 Ti.upf
ATOMIC_POSITIONS crystal
S 0.0000 0.5000 0.0000
S 0.5000 0.0000 0.0000
Cl 0.0000 0.0000 0.5000
B 0.0000 0.0000 0.0000
Ti 0.5000 0.5000 0.5000
CELL_PARAMETERS angstrom
-2.2512 -0.7391 3.5493
-2.7384 -2.3913 -2.2348
2.3217 -3.3776 0.7692

=====

Entry 7:
! TiBSCl2 | Alexandria | PBE | relaxed; values from VASP
! spin magnetization: 0.916 μB per formula unit
! energy above the most stable polymorph in this dataset: 0.000 eV per atom
! uncorrected formation energy: 0.1024 eV/atom
! SG: No. 123
&SYSTEM
  ibrav = 0, nat = 5, ntyp = 4
/
ATOMIC_SPECIES
S 32.06 S.upf
Cl 35.45 Cl.upf
B 10.81 B.upf
Ti 47.87 Ti.upf
ATOMIC_POSITIONS crystal
S 0.0000 0.0000 0.5000
Cl 0.0000 0.5000 0.0000
Cl 0.5000 0.0000 0.0000
B 0.5000 0.5000 0.5000
Ti 0.0000 0.0000 0.0000
CELL_PARAMETERS angstrom
-2.6447 -3.3392 2.2475
0.3439 -2.8668 -3.8547
3.9467 -1.9252 1.7839

=====

Entry 8:
! TiBS2Cl | Alexandria | PBE | relaxed; values from VASP
! spin magnetization: 0.000 μB per formula unit
! energy above the most stable polymorph in this dataset: 0.000 eV per atom
! uncorrected formation energy: 0.2516 eV/atom
! SG: No. 123
&SYSTEM
  ibrav = 0, nat = 5, ntyp = 4
/
ATOMIC_SPECIES
S 32.06 S.upf
Cl 35.45 Cl.upf
B 10.81 B.upf
Ti 47.87 Ti.upf
ATOMIC_POSITIONS crystal
S 0.0000 0.5000 0.0000
S 0.5000 0.0000 0.0000
Cl 0.0000 0.0000 0.5000
B 0.5000 0.5000 0.5000
Ti 0.0000 0.0000 0.0000
CELL_PARAMETERS angstrom
-1.3445 2.3339 -3.8712
1.1201 -3.7408 -2.6443
-4.4294 -1.6924 0.5180

=====

Entry 9:
! TlBS2Cl | Alexandria | PBE | relaxed; values from VASP
! spin magnetization: 0.367 μB per formula unit
! energy above the most stable polymorph in this dataset: 1.023 eV per atom
! uncorrected formation energy: 1.2842 eV/atom
! SG: No. 123
&SYSTEM
  ibrav = 0, nat = 5, ntyp = 4
/
ATOMIC_SPECIES
Tl 204.38 Tl.upf
B 10.81 B.upf
S 32.06 S.upf
Cl 35.45 Cl.upf
ATOMIC_POSITIONS crystal
Tl 0.0000 0.0000 0.0000
B 0.5000 0.5000 0.5000
S 0.0000 0.5000 0.0000
S 0.5000 0.0000 0.0000
Cl 0.0000 0.0000 0.5000
CELL_PARAMETERS angstrom
5.1059 0.0000 0.0000
0.0000 5.1059 0.0000
0.0000 0.0000 5.3822

=====

Entry 10:
! TlBSCl2 | Alexandria | PBE | relaxed; values from VASP
! spin magnetization: 0.153 μB per formula unit
! energy above the most stable polymorph in this dataset: 0.864 eV per atom
! uncorrected formation energy: 0.8905 eV/atom
! SG: No. 123
&SYSTEM
  ibrav = 0, nat = 5, ntyp = 4
/
ATOMIC_SPECIES
Tl 204.38 Tl.upf
B 10.81 B.upf
S 32.06 S.upf
Cl 35.45 Cl.upf
ATOMIC_POSITIONS crystal
Tl 0.0000 0.0000 0.0000
B 0.5000 0.5000 0.5000
S 0.0000 0.0000 0.5000
Cl 0.0000 0.5000 0.0000
Cl 0.5000 0.0000 0.0000
CELL_PARAMETERS angstrom
5.3198 0.0000 0.0000
0.0000 5.3198 0.0000
0.0000 0.0000 5.1413

=====

Entry 11:
! TlBS2Cl | Alexandria | PBE | relaxed; values from VASP
! spin magnetization: 0.000 μB per formula unit
! energy above the most stable polymorph in this dataset: 0.000 eV per atom
! uncorrected formation energy: 0.2615 eV/atom
! SG: No. 123
&SYSTEM
  ibrav = 0, nat = 5, ntyp = 4
/
ATOMIC_SPECIES
Tl 204.38 Tl.upf
B 10.81 B.upf
S 32.06 S.upf
Cl 35.45 Cl.upf
ATOMIC_POSITIONS crystal
Tl 0.5000 0.5000 0.5000
B 0.0000 0.0000 0.0000
S 0.0000 0.5000 0.0000
S 0.5000 0.0000 0.0000
Cl 0.0000 0.0000 0.5000
CELL_PARAMETERS angstrom
4.1127 0.0000 0.0000
0.0000 4.1127 0.0000
0.0000 0.0000 6.7656

=====

Entry 12:
! TlBSCl2 | Alexandria | PBE | relaxed; values from VASP
! spin magnetization: 0.000 μB per formula unit
! energy above the most stable polymorph in this dataset: 0.000 eV per atom
! uncorrected formation energy: 0.0262 eV/atom
! SG: No. 123
&SYSTEM
  ibrav = 0, nat = 5, ntyp = 4
/
ATOMIC_SPECIES
Tl 204.38 Tl.upf
B 10.81 B.upf
S 32.06 S.upf
Cl 35.45 Cl.upf
ATOMIC_POSITIONS crystal
Tl 0.5000 0.5000 0.5000
B 0.0000 0.0000 0.0000
S 0.0000 0.0000 0.5000
Cl 0.0000 0.5000 0.0000
Cl 0.5000 0.0000 0.0000
CELL_PARAMETERS angstrom
-2.3414 -2.4998 -4.3460
4.7332 -2.6838 -1.0063
-1.0599 -2.6562 2.0989

=====

Entry 13:
! VB2SCl | Alexandria | PBE | relaxed; values from VASP
! spin magnetization: 0.295 μB per formula unit
! uncorrected formation energy: 1.4514 eV/atom
! SG: No. 123
&SYSTEM
  ibrav = 0, nat = 5, ntyp = 4
/
ATOMIC_SPECIES
S 32.06 S.upf
Cl 35.45 Cl.upf
B 10.81 B.upf
V 50.94 V.upf
ATOMIC_POSITIONS crystal
S 0.0000 0.0000 0.0000
Cl 0.0000 0.5000 0.0000
B 0.0000 0.0000 0.5000
B 0.5000 0.0000 0.0000
V 0.5000 0.5000 0.5000
CELL_PARAMETERS angstrom
-2.4588 2.2340 -1.4947
-1.6121 -4.2556 -3.7087
-2.4948 -1.1429 2.3959

=====

Entry 14:
! BWSCl2 | Alexandria | PBE | relaxed; values from VASP
! spin magnetization: 0.000 μB per formula unit
! energy above the most stable polymorph in this dataset: 0.423 eV per atom
! uncorrected formation energy: 1.3088 eV/atom
! SG: No. 123
&SYSTEM
  ibrav = 0, nat = 5, ntyp = 4
/
ATOMIC_SPECIES
S 32.06 S.upf
B 10.81 B.upf
W 183.84 W.upf
Cl 35.45 Cl.upf
ATOMIC_POSITIONS crystal
S 0.0000 0.0000 0.5000
B 0.0000 0.0000 0.0000
W 0.5000 0.5000 0.5000
Cl 0.0000 0.5000 0.0000
Cl 0.5000 0.0000 0.0000
CELL_PARAMETERS angstrom
4.0937 0.0000 0.0000
0.0000 4.0937 0.0000
0.0000 0.0000 4.3239